Density functional theory data (GGA+U) for a geometry-optimized ZrCrPb2O6 structure.

Cell lengths 5.680, 5.680, 4.362 Å; angles 90.00, 90.00, 90.00 degrees
Space group P4mm (No. 99)
One atom of each set of equivalent atoms:
Zr1 0.000 0.000 0.000 (multiplicity 1)
Cr1 0.500 0.500 0.005 (multiplicity 1)
Pb1 0.000 0.500 0.438 (multiplicity 2)
O1 0.000 0.000 0.543 (multiplicity 1)
O2 0.259 0.259 0.087 (multiplicity 4)
O3 0.500 0.500 0.599 (multiplicity 1)

total energy	-7.189	eV per atom